Entry from Alexandria via LeMat-Bulk: NiNF2 after structural relaxation (PBE with a Hubbard U).

POSCAR file:
```
NiNF2
1.0
0.000 2.653 2.653
2.653 0.000 2.653
2.653 2.653 0.000
Ni N F
1 1 2
Direct
0.500 0.500 0.500
0.000 0.000 0.000
0.250 0.250 0.250
0.750 0.750 0.750
```

Computed properties:
- magnetic moment (Bohr magnetons per cell) = 1.62
- excess energy over the best structure of this formula in the dataset (kcal/mol of atoms) = 28.35
- DOS at the Fermi energy (states/eV per atom) = 1.870